# meta-GGA SCAN Fe2CoB2, PBEsol geometry
# * ΔH_f (0 K): -0.28 eV per atom
data_Fe2CoB2
_chemical_formula_sum 'Fe4 Co2 B4'
_cell_length_a 5.382
_cell_length_b 5.382
_cell_length_c 2.836
_cell_angle_alpha 90.00
_cell_angle_beta 90.00
_cell_angle_gamma 90.00
_symmetry_space_group_name_H-M 'P 4/m b m'
_symmetry_Int_Tables_number 127
_symmetry_space_group_name_Hall '-P 4 2ab'
loop_
_atom_site_label
_atom_site_type_symbol
_atom_site_fract_x
_atom_site_fract_y
_atom_site_fract_z
Fe1 Fe 0.169 0.331 0.000
Co1 Co 0.000 0.000 0.500
B1 B 0.121 0.621 0.500

=====

# meta-GGA SCAN FeCoB2, PBEsol geometry
# * ΔH_f (0 K): -0.29 eV per atom
# * E above lowest polymorph: 0 meV/atom
data_FeCoB2
_chemical_formula_sum 'Fe2 Co2 B4'
_cell_length_a 3.004
_cell_length_b 3.903
_cell_length_c 5.179
_cell_angle_alpha 90.00
_cell_angle_beta 90.00
_cell_angle_gamma 90.00
_symmetry_space_group_name_H-M 'P m c 21'
_symmetry_Int_Tables_number 26
_symmetry_space_group_name_Hall 'P 2c -2'
loop_
_atom_site_label
_atom_site_type_symbol
_atom_site_fract_x
_atom_site_fract_y
_atom_site_fract_z
Fe1 Fe 0.000 0.122 0.000
Co1 Co 0.500 0.373 0.356
B1 B 0.000 0.379 0.642
B2 B 0.500 0.132 0.713

=====

# meta-GGA SCAN FeCoB2, PBEsol geometry
# * ΔH_f (0 K): 0.40 eV per atom
# * E above lowest polymorph: 683 meV/atom
data_FeCoB2
_chemical_formula_sum 'Fe4 Co4 B8'
_cell_length_a 5.190
_cell_length_b 5.190
_cell_length_c 4.978
_cell_angle_alpha 90.00
_cell_angle_beta 90.00
_cell_angle_gamma 90.00
_symmetry_space_group_name_H-M 'I -4 2 d'
_symmetry_Int_Tables_number 122
_symmetry_space_group_name_Hall 'I -4 2bw'
loop_
_atom_site_label
_atom_site_type_symbol
_atom_site_fract_x
_atom_site_fract_y
_atom_site_fract_z
Fe1 Fe 0.000 0.000 0.000
Co1 Co 0.000 0.000 0.500
B1 B 0.248 0.250 0.625

=====

# meta-GGA SCAN LaFe6Co6B6, PBEsol geometry
# * ΔH_f (0 K): -0.18 eV per atom
data_LaFe6Co6B6
_chemical_formula_sum 'La3 Fe18 Co18 B18'
_cell_length_a 9.3421
_cell_length_b 9.3421
_cell_length_c 7.3707
_cell_angle_alpha 90.00
_cell_angle_beta 90.00
_cell_angle_gamma 120.00
_symmetry_space_group_name_H-M 'R -3 m'
_symmetry_Int_Tables_number 166
_symmetry_space_group_name_Hall '-R 3 2"'
loop_
_atom_site_label
_atom_site_type_symbol
_atom_site_fract_x
_atom_site_fract_y
_atom_site_fract_z
La1 La 0.0000 0.0000 0.0000
Fe1 Fe 0.0000 0.3676 0.5000
Co1 Co 0.0908 0.1816 0.3668
B1 B 0.0371 0.5185 0.2853

=====

| no. | volume (Å³/cell) | DOS at the Fermi energy (states/eV per cell) |
| --- | --- | --- |
| 1 | 82.1 | 5.12 |
| 2 | 60.7 | 2.61 |
| 3 | 134.1 | 10.94 |
| 4 | 557.1 | 41.72 |